A plane-wave DFT calculation with GGA-PBE was carried out for a relaxed La2Cu2P5 crystal.

Cell lengths 7.0660, 12.3235, 4.1085 Å; angles 90.00, 90.00, 90.00 degrees
Fractional positions:
La (0.2055, 0.1260, 0.0000)
La (0.2945, 0.6260, 0.0000)
La (0.7055, 0.3740, 0.0000)
La (0.7945, 0.8740, 0.0000)
Cu (0.1521, 0.8337, 0.5000)
Cu (0.3479, 0.3337, 0.5000)
Cu (0.6521, 0.6663, 0.5000)
Cu (0.8479, 0.1663, 0.5000)
P (0.0000, 0.0000, 0.5000)
P (0.0201, 0.3205, 0.5000)
P (0.1514, 0.3774, 0.0000)
P (0.3486, 0.8774, 0.0000)
P (0.4799, 0.8205, 0.5000)
P (0.5000, 0.5000, 0.5000)
P (0.5201, 0.1795, 0.5000)
P (0.6514, 0.1226, 0.0000)
P (0.8486, 0.6226, 0.0000)
P (0.9799, 0.6795, 0.5000)

Computed properties:
Total moment = 0.00 μB/f.u.



A plane-wave DFT calculation with GGA-PBE was carried out for a relaxed LaCuP crystal.

Cell lengths 4.9585, 4.9585, 4.9585 Å; angles 131.06, 131.06, 71.72 degrees
Fractional positions:
La (0.0000, 0.0000, 0.0000)
Cu (0.3536, 0.3536, 0.0000)
P (0.6349, 0.6349, 0.0000)

Computed properties:
Total moment = 0.00 μB/f.u.



A plane-wave DFT calculation with GGA-PBE was carried out for a relaxed LaCuP crystal.

Cell lengths 4.7863, 4.7863, 4.7863 Å; angles 60.00, 60.00, 60.00 degrees
Fractional positions:
La (0.0000, 0.0000, 0.0000)
Cu (0.7500, 0.7500, 0.7500)
P (0.2500, 0.2500, 0.2500)

Computed properties:
Total moment = 0.00 μB/f.u.



A plane-wave DFT calculation with GGA-PBE was carried out for a relaxed La2CuP crystal.

Cell lengths 6.6885, 6.6885, 6.6885 Å; angles 110.39, 110.39, 107.65 degrees
Fractional positions:
La (0.1224, 0.1250, 0.4974)
La (0.3750, 0.8776, 0.0026)
La (0.6276, 0.6250, 0.5026)
La (0.8750, 0.3724, 0.9974)
Cu (0.2500, 0.7500, 0.5000)
Cu (0.5000, 0.5000, 0.0000)
P (0.0000, 0.0000, 0.0000)
P (0.7500, 0.2500, 0.5000)

Computed properties:
Total moment = 0.00 μB/f.u.



A plane-wave DFT calculation with GGA-PBE was carried out for a relaxed LaCu6P2 crystal.

Cell lengths 3.8729, 3.8729, 8.8888 Å; angles 90.00, 90.00, 90.00 degrees
Fractional positions:
La (0.0000, 0.0000, 0.0000)
Cu (0.0000, 0.0000, 0.5000)
Cu (0.0000, 0.5000, 0.3110)
Cu (0.0000, 0.5000, 0.6890)
Cu (0.5000, 0.0000, 0.3110)
Cu (0.5000, 0.0000, 0.6890)
Cu (0.5000, 0.5000, 0.5000)
P (0.5000, 0.5000, 0.1639)
P (0.5000, 0.5000, 0.8361)

Computed properties:
Total moment = 0.00 μB/f.u.



A plane-wave DFT calculation with GGA-PBE was carried out for a relaxed La2CuP crystal.

Cell lengths 4.2117, 4.2117, 7.6415 Å; angles 106.05, 106.05, 60.03 degrees
Fractional positions:
La (0.2436, 0.2436, 0.2304)
La (0.7564, 0.7564, 0.7696)
Cu (0.0000, 0.0000, 0.5000)
P (0.5000, 0.5000, 0.0000)

Computed properties:
Total moment = 0.09 μB/f.u.



A plane-wave DFT calculation with GGA-PBE was carried out for a relaxed LaCu3P3 crystal.

Cell lengths 6.3377, 6.3377, 6.3377 Å; angles 90.00, 90.00, 90.00 degrees
Fractional positions:
La (0.0000, 0.0000, 0.0000)
La (0.5000, 0.5000, 0.5000)
Cu (0.0000, 0.2500, 0.5000)
Cu (0.0000, 0.7500, 0.5000)
Cu (0.2500, 0.5000, 0.0000)
Cu (0.5000, 0.0000, 0.2500)
Cu (0.5000, 0.0000, 0.7500)
Cu (0.7500, 0.5000, 0.0000)
P (0.0000, 0.5000, 0.2500)
P (0.0000, 0.5000, 0.7500)
P (0.2500, 0.0000, 0.5000)
P (0.5000, 0.2500, 0.0000)
P (0.5000, 0.7500, 0.0000)
P (0.7500, 0.0000, 0.5000)

Computed properties:
Total moment = 0.00 μB/f.u.



A plane-wave DFT calculation with GGA-PBE was carried out for a relaxed LaCuP crystal.

Cell lengths 7.7500, 7.7500, 3.7132 Å; angles 90.00, 90.00, 120.00 degrees
Fractional positions:
La (0.0000, 0.2961, 0.0000)
La (0.2961, 0.0000, 0.0000)
La (0.7039, 0.7039, 0.0000)
Cu (0.0000, 0.0000, 0.5000)
Cu (0.3333, 0.6667, 0.0000)
Cu (0.6667, 0.3333, 0.0000)
P (0.0000, 0.6042, 0.5000)
P (0.3958, 0.3958, 0.5000)
P (0.6042, 0.0000, 0.5000)

Computed properties:
Total moment = 0.00 μB/f.u.



A plane-wave DFT calculation with GGA-PBE was carried out for a relaxed LaCu4P crystal.

Cell lengths 5.1554, 5.1554, 5.1554 Å; angles 60.00, 60.00, 60.00 degrees
Fractional positions:
La (0.0000, 0.0000, 0.0000)
Cu (0.1294, 0.6235, 0.6235)
Cu (0.6235, 0.1294, 0.6235)
Cu (0.6235, 0.6235, 0.1294)
Cu (0.6235, 0.6235, 0.6235)
P (0.2500, 0.2500, 0.2500)

Computed properties:
Total moment = 0.00 μB/f.u.



A plane-wave DFT calculation with GGA-PBE was carried out for a relaxed LaCuP3 crystal.

Cell lengths 5.4173, 5.4173, 5.4173 Å; angles 90.00, 90.00, 90.00 degrees
Fractional positions:
La (0.0000, 0.0000, 0.0000)
Cu (0.5000, 0.5000, 0.5000)
P (0.0000, 0.0000, 0.5000)
P (0.0000, 0.5000, 0.0000)
P (0.5000, 0.0000, 0.0000)

Computed properties:
Total moment = 0.00 μB/f.u.
Offset from the most stable computed form = 7.31 eV per formula unit



A plane-wave DFT calculation with GGA-PBE was carried out for a relaxed LaCu4P3 crystal.

Cell lengths 5.8022, 5.8022, 7.3788 Å; angles 90.00, 90.00, 90.00 degrees
Fractional positions:
La (0.2500, 0.2500, 0.0187)
La (0.7500, 0.7500, 0.9813)
Cu (0.0174, 0.0174, 0.6740)
Cu (0.0174, 0.4826, 0.6740)
Cu (0.4826, 0.0174, 0.6740)
Cu (0.4826, 0.4826, 0.6740)
Cu (0.5174, 0.5174, 0.3260)
Cu (0.5174, 0.9826, 0.3260)
Cu (0.9826, 0.5174, 0.3260)
Cu (0.9826, 0.9826, 0.3260)
P (0.2500, 0.2500, 0.4755)
P (0.2500, 0.7500, 0.1536)
P (0.2500, 0.7500, 0.8464)
P (0.7500, 0.2500, 0.1536)
P (0.7500, 0.2500, 0.8464)
P (0.7500, 0.7500, 0.5245)

Computed properties:
Total moment = 0.00 μB/f.u.



A plane-wave DFT calculation with GGA-PBE was carried out for a relaxed LaCuP crystal.

Cell lengths 4.0565, 4.0565, 4.2496 Å; angles 90.00, 90.00, 120.00 degrees
Fractional positions:
La (0.0000, 0.0000, 0.0000)
Cu (0.3333, 0.6667, 0.5000)
P (0.6667, 0.3333, 0.5000)

Computed properties:
Total moment = 0.28 μB/f.u.



| no. | theoretical density (Mg/m³) | DFT total energy (eV per atom) | formation energy from the elements (meV per atom) |
| --- | --- | --- | --- |
| 1 | 5.2 | -5.684 | -673 |
| 2 | 5.7 | -5.282 | -471 |
| 3 | 5.0 | -5.047 | -236 |
| 4 | 5.4 | -5.353 | -512 |
| 5 | 7.3 | -4.876 | -396 |
| 6 | 5.6 | -5.586 | -746 |
| 7 | 5.5 | -5.176 | -398 |
| 8 | 6.0 | -5.078 | -267 |
| 9 | 7.3 | -4.563 | -109 |
| 10 | 3.1 | -3.818 | 1233 |
| 11 | 6.5 | -5.185 | -492 |
| 12 | 6.4 | -5.800 | -988 |